# BaNbAu

A relaxed BaNbAu crystal (PBE, Alexandria).

Values from the calculation:
Crystal system: triclinic
Volume: 33.449 A^3/atom
Energy of formation from the pure elements: 83 meV/atom

Lattice parameters (Å, degrees): 4.5628 4.5721 11.4052 78.51 78.49 60.09
Closest atoms and distances in Å follow each position.
Space group P1 (No. 1)
Symmetry-distinct sites (fractional):
Ba 0.0000 0.0000 0.0000 x1  3 Au 3.23
Ba 0.4511 0.4596 0.6404 x1  3 Au 3.58-3.59, 4 Nb 3.64-3.87
Nb 0.1934 0.2016 0.4138 x1  4 Au 2.64-2.73
Nb 0.5681 0.5732 0.2918 x1  3 Nb 2.96-2.98, 6 Au 2.97-3.01
Au 0.2771 0.2789 0.1675 x1  4 Nb 2.73-2.98
Au 0.8577 0.8645 0.4219 x1  3 Nb 2.64

***

# BaNbAu2

A relaxed BaNbAu2 crystal (PBE, Alexandria).

Values from the calculation:
Crystal system: cubic
Volume: 25.569 A^3/atom
Energy of formation from the pure elements: 255 meV/atom

Lattice parameters (Å, degrees): 7.4236 7.4236 7.4236 90.00 90.00 90.00
Closest atoms and distances in Å follow each position.
Space group Fm-3m (No. 225)
Symmetry-distinct sites (fractional):
Ba 0.0000 0.0000 0.0000 x4  8 Au 3.21
Nb 0.0000 0.0000 0.5000 x4  8 Au 3.21
Au 0.2500 0.2500 0.2500 x8  4 Nb 3.21, 4 Ba 3.21

***

# BaNbAu

A relaxed BaNbAu crystal (PBE, Alexandria).

Values from the calculation:
Crystal system: orthorhombic
Volume: 31.508 A^3/atom
Energy of formation from the pure elements: 327 meV/atom

Lattice parameters (Å, degrees): 4.5023 7.8329 10.7213 90.00 90.00 90.00
Closest atoms and distances in Å follow each position.
Space group Cmcm (No. 63)
Symmetry-distinct sites (fractional):
Ba 0.0000 0.0000 0.0000 x4  6 Nb 3.73-3.74, 6 Au 3.73-3.74
Nb 0.0000 0.3338 0.2500 x4  3 Au 2.60-2.61
Au 0.0000 0.3337 0.7500 x4  3 Nb 2.60-2.61